Record 1
The following is a PBE calculation of crystalline TbThZn3 at its relaxed geometry, from Alexandria.

Computed properties:
Fermi-level density of states   18.201 states/eV/cell
Total magnetic moment   0.00 μB/atom
Energy relative to the elements   -0.2804 eV/atom

Geometry as CIF:
```
data_TbThZn3
_chemical_formula_sum 'Tb4 Th4 Zn12'
_cell_length_a 3.574
_cell_length_b 27.431
_cell_length_c 4.557
_cell_angle_alpha 90.00
_cell_angle_beta 90.00
_cell_angle_gamma 90.00
_symmetry_space_group_name_H-M 'C m c m'
_symmetry_Int_Tables_number 63
_symmetry_space_group_name_Hall '-C 2c 2'
loop_
_atom_site_label
_atom_site_type_symbol
_atom_site_fract_x
_atom_site_fract_y
_atom_site_fract_z
Tb1 Tb 0.000 0.209 0.250
Th1 Th 0.000 0.073 0.750
Zn1 Zn 0.000 0.326 0.250
Zn2 Zn 0.000 0.380 0.750
Zn3 Zn 0.000 0.476 0.750
```

Record 2
The following is a PBE calculation of crystalline TbTh2Zn6 at its relaxed geometry, from Alexandria.

Computed properties:
Fermi-level density of states   20.397 states/eV/cell
Total magnetic moment   0.00 μB/atom
Energy relative to the elements   -0.3022 eV/atom

Geometry as CIF:
```
data_TbTh2Zn6
_chemical_formula_sum 'Tb2 Th4 Zn12'
_cell_length_a 13.679
_cell_length_b 7.897
_cell_length_c 3.537
_cell_angle_alpha 90.00
_cell_angle_beta 90.06
_cell_angle_gamma 90.00
_symmetry_space_group_name_H-M 'C 1 2/m 1'
_symmetry_Int_Tables_number 12
loop_
_symmetry_equiv_pos_as_xyz
'x,y,z'
'-x,-y,-z'
'-x,y,-z'
'x,-y,z'
'x+1/2,y+1/2,z'
'-x+1/2,-y+1/2,-z'
'-x+1/2,y+1/2,-z'
'x+1/2,-y+1/2,z'
loop_
_atom_site_label
_atom_site_type_symbol
_atom_site_fract_x
_atom_site_fract_y
_atom_site_fract_z
Tb1 Tb 0.000 0.000 0.000
Th1 Th 0.167 0.500 0.000
Zn1 Zn 0.000 0.330 0.500
Zn2 Zn 0.165 0.165 0.500
```

Record 3
The following is a PBE calculation of crystalline TbTh3Zn4 at its relaxed geometry, from Alexandria.

Computed properties:
Fermi-level density of states   23.513 states/eV/cell
Total magnetic moment   0.00 μB/atom
Energy relative to the elements   -0.2090 eV/atom

Geometry as CIF:
```
data_TbTh3Zn4
_chemical_formula_sum 'Tb3 Th9 Zn12'
_cell_length_a 5.1557
_cell_length_b 5.1557
_cell_length_c 25.3189
_cell_angle_alpha 90.00
_cell_angle_beta 90.00
_cell_angle_gamma 120.00
_symmetry_space_group_name_H-M 'R -3 m'
_symmetry_Int_Tables_number 166
_symmetry_space_group_name_Hall '-R 3 2"'
loop_
_atom_site_label
_atom_site_type_symbol
_atom_site_fract_x
_atom_site_fract_y
_atom_site_fract_z
Tb1 Tb 0.0000 0.0000 0.0000
Th1 Th 0.0000 0.0000 0.2489
Th2 Th 0.0000 0.0000 0.5000
Zn1 Zn 0.0000 0.0000 0.1226
Zn2 Zn 0.0000 0.0000 0.3728
```

Record 4
The following is a PBE calculation of crystalline TbTh2Zn3 at its relaxed geometry, from Alexandria.

Computed properties:
Fermi-level density of states   5.240 states/eV/cell
Total magnetic moment   0.00 μB/atom
Energy relative to the elements   -0.2213 eV/atom

Geometry as CIF:
```
data_TbTh2Zn3
_chemical_formula_sum 'Tb1 Th2 Zn3'
_cell_length_a 5.1437
_cell_length_b 5.1437
_cell_length_c 6.3260
_cell_angle_alpha 90.00
_cell_angle_beta 90.00
_cell_angle_gamma 120.00
_symmetry_space_group_name_H-M 'P -3 m 1'
_symmetry_Int_Tables_number 164
_symmetry_space_group_name_Hall '-P 3 2"'
loop_
_atom_site_label
_atom_site_type_symbol
_atom_site_fract_x
_atom_site_fract_y
_atom_site_fract_z
Tb1 Tb 0.0000 0.0000 0.0000
Th1 Th 0.3333 0.6667 0.6681
Zn1 Zn 0.0000 0.0000 0.5000
Zn2 Zn 0.3333 0.6667 0.1628
```

Record 5
The following is a PBE calculation of crystalline Tb2ThZn6 at its relaxed geometry, from Alexandria.

Computed properties:
Fermi-level density of states   8.940 states/eV/cell
Total magnetic moment   0.00 μB/atom
Energy relative to the elements   -0.3370 eV/atom

Geometry as CIF:
```
data_Tb2ThZn6
_chemical_formula_sum 'Tb2 Th1 Zn6'
_cell_length_a 7.8294
_cell_length_b 7.8294
_cell_length_c 3.5386
_cell_angle_alpha 90.00
_cell_angle_beta 90.00
_cell_angle_gamma 120.00
_symmetry_space_group_name_H-M 'P 6/m m m'
_symmetry_Int_Tables_number 191
_symmetry_space_group_name_Hall '-P 6 2'
loop_
_atom_site_label
_atom_site_type_symbol
_atom_site_fract_x
_atom_site_fract_y
_atom_site_fract_z
Tb1 Tb 0.3333 0.6667 0.0000
Th1 Th 0.0000 0.0000 0.0000
Zn1 Zn 0.0000 0.3371 0.5000
```

Record 6
The following is a PBE calculation of crystalline Tb5ThZn4 at its relaxed geometry, from Alexandria.

Computed properties:
Fermi-level density of states   11.608 states/eV/cell
Total magnetic moment   0.00 μB/atom
Energy relative to the elements   -0.2680 eV/atom

Geometry as CIF:
```
data_Tb5ThZn4
_chemical_formula_sum 'Tb5 Th1 Zn4'
_cell_length_a 3.579
_cell_length_b 3.579
_cell_length_c 19.328
_cell_angle_alpha 90.00
_cell_angle_beta 90.00
_cell_angle_gamma 90.00
_symmetry_space_group_name_H-M 'P 4/m m m'
_symmetry_Int_Tables_number 123
_symmetry_space_group_name_Hall '-P 4 2'
loop_
_atom_site_label
_atom_site_type_symbol
_atom_site_fract_x
_atom_site_fract_y
_atom_site_fract_z
Tb1 Tb 0.000 0.000 0.000
Tb2 Tb 0.000 0.000 0.184
Tb3 Tb 0.000 0.000 0.371
Th1 Th 0.500 0.500 0.500
Zn1 Zn 0.500 0.500 0.093
Zn2 Zn 0.500 0.500 0.278
```

Record 7
The following is a PBE calculation of crystalline Tb5ThZn6 at its relaxed geometry, from Alexandria.

Computed properties:
Fermi-level density of states   26.577 states/eV/cell
Total magnetic moment   0.00 μB/atom
Energy relative to the elements   -0.3050 eV/atom

Geometry as CIF:
```
data_Tb5ThZn6
_chemical_formula_sum 'Tb10 Th2 Zn12'
_cell_length_a 5.082
_cell_length_b 7.196
_cell_length_c 15.270
_cell_angle_alpha 90.00
_cell_angle_beta 90.00
_cell_angle_gamma 90.00
_symmetry_space_group_name_H-M 'I m m m'
_symmetry_Int_Tables_number 71
_symmetry_space_group_name_Hall '-I 2 2'
loop_
_atom_site_label
_atom_site_type_symbol
_atom_site_fract_x
_atom_site_fract_y
_atom_site_fract_z
Tb1 Tb 0.000 0.000 0.000
Tb2 Tb 0.000 0.000 0.334
Tb3 Tb 0.000 0.500 0.333
Th1 Th 0.000 0.500 0.000
Zn1 Zn 0.000 0.247 0.169
Zn2 Zn 0.000 0.257 0.500
```

Record 8
The following is a PBE calculation of crystalline Tb14ThZr at its relaxed geometry, from Alexandria.

Computed properties:
Fermi-level density of states   20.483 states/eV/cell
Total magnetic moment   0.00 μB/atom
Energy relative to the elements   0.0404 eV/atom

Geometry as CIF:
```
data_Tb14ThZr
_chemical_formula_sum 'Tb14 Th1 Zr1'
_cell_length_a 7.067
_cell_length_b 7.067
_cell_length_c 10.001
_cell_angle_alpha 90.00
_cell_angle_beta 90.00
_cell_angle_gamma 90.00
_symmetry_space_group_name_H-M 'P 4/m m m'
_symmetry_Int_Tables_number 123
_symmetry_space_group_name_Hall '-P 4 2'
loop_
_atom_site_label
_atom_site_type_symbol
_atom_site_fract_x
_atom_site_fract_y
_atom_site_fract_z
Tb1 Tb 0.000 0.000 0.000
Tb2 Tb 0.000 0.500 0.000
Tb3 Tb 0.000 0.500 0.500
Tb4 Tb 0.247 0.247 0.256
Tb5 Tb 0.500 0.500 0.000
Th1 Th 0.500 0.500 0.500
Zr1 Zr 0.000 0.000 0.500
```

Record 9
The following is a PBE calculation of crystalline TbThZr at its relaxed geometry, from Alexandria.

Computed properties:
Fermi-level density of states   7.688 states/eV/cell
Total magnetic moment   0.00 μB/atom
ΔE to the lowest computed polymorph   2 meV/atom
Energy relative to the elements   0.0997 eV/atom

Geometry as CIF:
```
data_TbThZr
_chemical_formula_sum 'Tb2 Th2 Zr2'
_cell_length_a 3.404
_cell_length_b 3.404
_cell_length_c 14.942
_cell_angle_alpha 90.00
_cell_angle_beta 90.00
_cell_angle_gamma 90.00
_symmetry_space_group_name_H-M 'I 4 m m'
_symmetry_Int_Tables_number 107
_symmetry_space_group_name_Hall 'I 4 -2'
loop_
_atom_site_label
_atom_site_type_symbol
_atom_site_fract_x
_atom_site_fract_y
_atom_site_fract_z
Tb1 Tb 0.000 0.000 0.000
Th1 Th 0.000 0.000 0.681
Zr1 Zr 0.000 0.000 0.340
```

Record 10
The following is a PBE calculation of crystalline TbThZr at its relaxed geometry, from Alexandria.

Computed properties:
Fermi-level density of states   3.250 states/eV/cell
Total magnetic moment   0.00 μB/atom
ΔE to the lowest computed polymorph   7 meV/atom
Energy relative to the elements   0.1045 eV/atom

Geometry as CIF:
```
data_TbThZr
_chemical_formula_sum 'Tb1 Th1 Zr1'
_cell_length_a 3.4600
_cell_length_b 3.4600
_cell_length_c 8.2863
_cell_angle_alpha 90.00
_cell_angle_beta 90.00
_cell_angle_gamma 120.00
_symmetry_space_group_name_H-M 'P 3 m 1'
_symmetry_Int_Tables_number 156
loop_
_symmetry_equiv_pos_as_xyz
'x,y,z'
'-y,x-y,z'
'-x+y,-x,z'
'-y,-x,z'
'-x+y,y,z'
'x,x-y,z'
loop_
_atom_site_label
_atom_site_type_symbol
_atom_site_fract_x
_atom_site_fract_y
_atom_site_fract_z
Tb1 Tb 0.0000 0.0000 0.0000
Th1 Th 0.6667 0.3333 0.3497
Zr1 Zr 0.3333 0.6667 0.6674
```

Record 11
The following is a PBE calculation of crystalline TbThZr at its relaxed geometry, from Alexandria.

Computed properties:
Fermi-level density of states   7.272 states/eV/cell
Total magnetic moment   0.00 μB/atom
ΔE to the lowest computed polymorph   0 meV/atom
Energy relative to the elements   0.0972 eV/atom

Geometry as CIF:
```
data_TbThZr
_chemical_formula_sum 'Tb2 Th2 Zr2'
_cell_length_a 3.4820
_cell_length_b 3.4820
_cell_length_c 16.6466
_cell_angle_alpha 90.00
_cell_angle_beta 90.00
_cell_angle_gamma 120.00
_symmetry_space_group_name_H-M 'P -3 m 1'
_symmetry_Int_Tables_number 164
_symmetry_space_group_name_Hall '-P 3 2"'
loop_
_atom_site_label
_atom_site_type_symbol
_atom_site_fract_x
_atom_site_fract_y
_atom_site_fract_z
Tb1 Tb 0.0000 0.0000 0.0994
Th1 Th 0.3333 0.6667 0.2679
Zr1 Zr 0.3333 0.6667 0.5735
```

Record 12
The following is a PBE calculation of crystalline TbTi6 at its relaxed geometry, from Alexandria.

Computed properties:
Fermi-level density of states   24.526 states/eV/cell
Total magnetic moment   1.03 μB/atom
Energy relative to the elements   1.3778 eV/atom

Geometry as CIF:
```
data_TbTi6
_chemical_formula_sum 'Tb2 Ti12'
_cell_length_a 6.932
_cell_length_b 6.932
_cell_length_c 6.932
_cell_angle_alpha 90.00
_cell_angle_beta 90.00
_cell_angle_gamma 90.00
_symmetry_space_group_name_H-M 'I m -3 m'
_symmetry_Int_Tables_number 229
_symmetry_space_group_name_Hall '-I 4 2 3'
loop_
_atom_site_label
_atom_site_type_symbol
_atom_site_fract_x
_atom_site_fract_y
_atom_site_fract_z
Tb1 Tb 0.000 0.000 0.000
Ti1 Ti 0.000 0.250 0.500
```

Record 13
The following is a PBE calculation of crystalline TbTi2 at its relaxed geometry, from Alexandria.

Computed properties:
Fermi-level density of states   8.426 states/eV/cell
Total magnetic moment   0.64 μB/atom
Energy relative to the elements   0.1960 eV/atom

Geometry as CIF:
```
data_TbTi2
_chemical_formula_sum 'Tb2 Ti4'
_cell_length_a 3.531
_cell_length_b 3.531
_cell_length_c 10.697
_cell_angle_alpha 90.00
_cell_angle_beta 90.00
_cell_angle_gamma 90.00
_symmetry_space_group_name_H-M 'I 4/m m m'
_symmetry_Int_Tables_number 139
_symmetry_space_group_name_Hall '-I 4 2'
loop_
_atom_site_label
_atom_site_type_symbol
_atom_site_fract_x
_atom_site_fract_y
_atom_site_fract_z
Tb1 Tb 0.000 0.000 0.000
Ti1 Ti 0.000 0.000 0.303
```